# 1
Entry from Alexandria via LeMat-Bulk: KSbOs2 at its PBEsol-relaxed geometry (SCAN).

Cell: 2.885 3.900 7.644 Å, 90.00 90.00 90.00°
Sites, in units of the cell vectors:
K 0.500 0.500 0.500
Os 0.000 0.000 0.168
Os 0.000 0.000 0.832
Sb 0.500 0.500 0.000

Summary:
Formation energy without anion corrections: 1.18 eV per atom
Total energy: -46.15 eV per atom
Total magnetization: 0.000 μB/atom
Crystal system: orthorhombic
Space-group type: Pmmm
DOS(E_F): 0.81 states/eV/atom

# 2
Entry from Alexandria via LeMat-Bulk: KPbW2S at its PBEsol-relaxed geometry (SCAN).

Cell: 4.478 4.478 5.483 Å, 90.00 90.00 90.00°
Sites, in units of the cell vectors:
K 0.000 0.000 0.500
Pb 0.500 0.500 0.500
S 0.000 0.000 0.000
W 0.500 0.000 0.000
W 0.000 0.500 0.000

Summary:
Formation energy without anion corrections: 1.10 eV per atom
Total energy: -45.52 eV per atom
Total magnetization: 0.000 μB/atom
Crystal system: tetragonal
Space-group type: P4/mmm
DOS(E_F): 0.85 states/eV/atom

Look up the DOS(E_F) of the first one. 0.81 states/eV/atom

Number 2 is which compound? KPbW2S